Here is a relaxed Nb3BiO crystal from the Alexandria database. Energies are from GGA-PBE.

abc: 5.202 5.202 5.202
angles: 90.00 90.00 90.00
Fractional positions:
Nb 0.000 0.000 0.500
Nb 0.000 0.500 0.000
Nb 0.500 0.000 0.000
Bi 0.000 0.000 0.000
O 0.500 0.500 0.500

* E_form (uncorrected): 2493 meV/atom
* VASP energy: -5.317 eV per atom
* distance to the lowest polymorph of the same formula: 3012 meV per atom